[1]
The following is a PBE calculation of crystalline TcHg2Ir at its relaxed geometry, from Alexandria. Values from VASP.

## Properties
Space group   Cmmm (65)
Total moment   2.41 Bohr magnetons per cell
Total DFT energy (no corrections)   -4.191 eV/atom

The structure in Quantum ESPRESSO input format:
```
&SYSTEM
  ibrav = 0, nat = 8, ntyp = 3
/
ATOMIC_SPECIES
Tc 98.00 Tc.upf
Hg 200.59 Hg.upf
Ir 192.22 Ir.upf
ATOMIC_POSITIONS angstrom
Tc 0.000 0.000 0.000
Tc 2.893 4.211 0.000
Hg 1.446 2.106 1.445
Hg 1.446 6.317 1.445
Hg 4.339 2.106 1.445
Hg 4.339 6.317 1.445
Ir 0.000 4.211 0.000
Ir 2.893 0.000 0.000
CELL_PARAMETERS angstrom
5.786 0.000 0.000
0.000 8.423 0.000
0.000 0.000 2.890
```


[2]
The following is a PBE calculation of crystalline Tc2HgIr at its relaxed geometry, from Alexandria. Values from VASP.

## Properties
Space group   F-43m (216)
Total moment   5.34 Bohr magnetons per cell
Total DFT energy (no corrections)   -6.854 eV/atom

The structure in Quantum ESPRESSO input format:
```
&SYSTEM
  ibrav = 0, nat = 16, ntyp = 3
/
ATOMIC_SPECIES
Tc 98.00 Tc.upf
Hg 200.59 Hg.upf
Ir 192.22 Ir.upf
ATOMIC_POSITIONS angstrom
Tc 0.000 0.000 0.000
Tc 0.000 3.188 3.188
Tc 1.594 1.594 1.594
Tc 1.594 4.782 4.782
Tc 3.188 0.000 3.188
Tc 3.188 3.188 0.000
Tc 4.782 1.594 4.782
Tc 4.782 4.782 1.594
Hg 1.594 1.594 4.782
Hg 1.594 4.782 1.594
Hg 4.782 1.594 1.594
Hg 4.782 4.782 4.782
Ir 0.000 0.000 3.188
Ir 0.000 3.188 0.000
Ir 3.188 0.000 0.000
Ir 3.188 3.188 3.188
CELL_PARAMETERS angstrom
6.376 0.000 0.000
0.000 6.376 0.000
0.000 0.000 6.376
```


[3]
The following is a PBE calculation of crystalline TcHg2Ir at its relaxed geometry, from Alexandria. Values from VASP.

## Properties
Space group   P4/mmm (123)
Total moment   1.50 Bohr magnetons per cell
Total DFT energy (no corrections)   -4.156 eV/atom

The structure in Quantum ESPRESSO input format:
```
&SYSTEM
  ibrav = 0, nat = 4, ntyp = 3
/
ATOMIC_SPECIES
Tc 98.00 Tc.upf
Hg 200.59 Hg.upf
Ir 192.22 Ir.upf
ATOMIC_POSITIONS angstrom
Tc 0.000 0.000 0.000
Hg 0.000 2.366 1.573
Hg 2.366 0.000 1.573
Ir 2.366 2.366 0.000
CELL_PARAMETERS angstrom
4.731 0.000 0.000
0.000 4.731 0.000
0.000 0.000 3.145
```


[4]
The following is a PBE calculation of crystalline TcHgIr2 at its relaxed geometry, from Alexandria. Values from VASP.

## Properties
Space group   C2/m (12)
Total moment   0.00 Bohr magnetons per cell
Total DFT energy (no corrections)   -6.750 eV/atom

The structure in Quantum ESPRESSO input format:
```
&SYSTEM
  ibrav = 0, nat = 8, ntyp = 3
/
ATOMIC_SPECIES
Tc 98.00 Tc.upf
Hg 200.59 Hg.upf
Ir 192.22 Ir.upf
ATOMIC_POSITIONS angstrom
Tc 0.000 0.000 0.000
Tc 4.665 1.395 0.000
Hg -0.388 1.395 2.437
Hg 4.277 0.000 2.437
Ir 2.080 1.395 1.117
Ir 1.809 0.000 3.757
Ir 6.745 0.000 1.117
Ir 6.475 1.395 3.757
CELL_PARAMETERS angstrom
9.331 0.000 0.000
0.000 2.791 0.000
-0.776 0.000 4.875
```


[5]
The following is a PBE calculation of crystalline TcHgIr2 at its relaxed geometry, from Alexandria. Values from VASP.

## Properties
Space group   Imm2 (44)
Total moment   0.00 Bohr magnetons per cell
Total DFT energy (no corrections)   -6.646 eV/atom

The structure in Quantum ESPRESSO input format:
```
&SYSTEM
  ibrav = 0, nat = 8, ntyp = 3
/
ATOMIC_SPECIES
Tc 98.00 Tc.upf
Hg 200.59 Hg.upf
Ir 192.22 Ir.upf
ATOMIC_POSITIONS angstrom
Tc 0.000 0.000 0.000
Tc 1.391 2.241 5.487
Hg 0.000 2.241 2.837
Hg 1.391 0.000 8.324
Ir 0.000 0.000 4.729
Ir 0.000 2.241 7.589
Ir 1.391 0.000 2.102
Ir 1.391 2.241 10.216
CELL_PARAMETERS angstrom
2.782 0.000 0.000
0.000 4.481 0.000
0.000 0.000 10.974
```


[6]
The following is a PBE calculation of crystalline TcHgIr2 at its relaxed geometry, from Alexandria. Values from VASP.

## Properties
Space group   Pmmm (47)
Total moment   0.20 Bohr magnetons per cell
Total DFT energy (no corrections)   -6.462 eV/atom

The structure in Quantum ESPRESSO input format:
```
&SYSTEM
  ibrav = 0, nat = 4, ntyp = 3
/
ATOMIC_SPECIES
Tc 98.00 Tc.upf
Hg 200.59 Hg.upf
Ir 192.22 Ir.upf
ATOMIC_POSITIONS angstrom
Tc 0.000 0.000 0.000
Hg 1.416 0.000 2.409
Ir 0.000 2.361 2.409
Ir 1.416 2.361 0.000
CELL_PARAMETERS angstrom
2.833 0.000 0.000
0.000 4.721 0.000
0.000 0.000 4.819
```


| no. | calculated formation energy (eV per atom) |
| --- | --- |
| 1 | 0.77 |
| 2 | 0.62 |
| 3 | 0.80 |
| 4 | 0.35 |
| 5 | 0.45 |
| 6 | 0.64 |